First-principles (PBE-GGA) data for an optimized crystal structure of VCu2Ir2, as listed in the Alexandria database.

```
VCu2Ir2
1.0
-0.2625 -5.7079 -3.9186
4.8281 -2.9615 3.9904
-2.0405 -1.0607 1.6817
Cu Ir V
4 4 2
Cartesian
0.4360 -3.9311 -1.9504
1.7815 -1.8220 1.0125
4.1296 -4.7382 2.0222
2.7841 -6.8474 -0.9407
2.7892 -6.8245 1.4932
0.3354 -6.2077 -1.0950
2.1897 -3.5224 2.8486
-0.2641 -2.9055 0.2603
0.0000 0.0000 0.0000
2.2828 -4.3347 0.0359
```

Summary:
As for the space-group type: P4/mbm, No. 127. The calculation puts the total energy at -68.04 eV for the cell shown. The formation energy comes out at 0.202 eV per atom. The theoretical density comes out at 13.66 Mg/m³.